# 1
Mg3CoBr: optimized geometry, GGA-PBE.

The structure in CIF format:
```
data_Mg3CoBr
_chemical_formula_sum 'Mg3 Co1 Br1'
_symmetry_space_group_name_H-M 'P m -3 m'
_symmetry_Int_Tables_number 221
_symmetry_space_group_name_Hall '-P 4 2 3'
_cell_length_a 5.069
_cell_length_b 5.069
_cell_length_c 5.069
_cell_angle_alpha 90.00
_cell_angle_beta 90.00
_cell_angle_gamma 90.00
loop_
_atom_site_label
_atom_site_fract_x
_atom_site_fract_y
_atom_site_fract_z
_atom_site_occupancy
Mg1 0.000 0.000 0.500 1
Co1 0.500 0.500 0.500 1
Br1 0.000 0.000 0.000 1
```

=====

# 2
Mg2CoBr: optimized geometry, GGA-PBE.

The structure in CIF format:
```
data_Mg2CoBr
_chemical_formula_sum 'Mg4 Co2 Br2'
_symmetry_space_group_name_H-M 'I m m m'
_symmetry_Int_Tables_number 71
_symmetry_space_group_name_Hall '-I 2 2'
_cell_length_a 3.373
_cell_length_b 5.479
_cell_length_c 8.883
_cell_angle_alpha 90.00
_cell_angle_beta 90.00
_cell_angle_gamma 90.00
loop_
_atom_site_label
_atom_site_fract_x
_atom_site_fract_y
_atom_site_fract_z
_atom_site_occupancy
Mg1 0.000 0.000 0.242 1
Co1 0.000 0.500 0.500 1
Br1 0.000 0.500 0.000 1
```

=====

# 3
MgCoBr2: optimized geometry, GGA-PBE.

The structure in CIF format:
```
data_MgCoBr2
_chemical_formula_sum 'Mg2 Co2 Br4'
_symmetry_space_group_name_H-M 'I m m m'
_symmetry_Int_Tables_number 71
_symmetry_space_group_name_Hall '-I 2 2'
_cell_length_a 3.688
_cell_length_b 6.105
_cell_length_c 7.795
_cell_angle_alpha 90.00
_cell_angle_beta 90.00
_cell_angle_gamma 90.00
loop_
_atom_site_label
_atom_site_fract_x
_atom_site_fract_y
_atom_site_fract_z
_atom_site_occupancy
Mg1 0.000 0.000 0.000 1
Co1 0.000 0.000 0.500 1
Br1 0.000 0.500 0.217 1
```

=====

# 4
MgCoBr2: optimized geometry, GGA-PBE.

The structure in CIF format:
```
data_MgCoBr2
_chemical_formula_sum 'Mg1 Co1 Br2'
_symmetry_space_group_name_H-M 'P m m m'
_symmetry_Int_Tables_number 47
_cell_length_a 3.528
_cell_length_b 4.041
_cell_length_c 6.302
_cell_angle_alpha 90.00
_cell_angle_beta 90.00
_cell_angle_gamma 90.00
loop_
_symmetry_equiv_pos_as_xyz
'x,y,z'
'-x,-y,-z'
'-x,-y,z'
'x,y,-z'
'x,-y,-z'
'-x,y,z'
'-x,y,-z'
'x,-y,z'
loop_
_atom_site_label
_atom_site_fract_x
_atom_site_fract_y
_atom_site_fract_z
_atom_site_occupancy
Mg1 0.000 0.000 0.000 1
Co1 0.500 0.000 0.500 1
Br1 0.000 0.500 0.500 1
Br2 0.500 0.500 0.000 1
```

=====

# 5
MgCo2Br: optimized geometry, GGA-PBE.

The structure in CIF format:
```
data_MgCo2Br
_chemical_formula_sum 'Mg1 Co2 Br1'
_symmetry_space_group_name_H-M 'P 1 2/m 1'
_symmetry_Int_Tables_number 10
_cell_length_a 4.220
_cell_length_b 3.180
_cell_length_c 4.850
_cell_angle_alpha 90.00
_cell_angle_beta 100.88
_cell_angle_gamma 90.00
loop_
_symmetry_equiv_pos_as_xyz
'x,y,z'
'-x,-y,-z'
'-x,y,-z'
'x,-y,z'
loop_
_atom_site_label
_atom_site_fract_x
_atom_site_fract_y
_atom_site_fract_z
_atom_site_occupancy
Mg1 0.000 0.000 0.000 1
Co1 0.000 0.500 0.500 1
Co2 0.500 0.000 0.500 1
Br1 0.500 0.500 0.000 1
```

=====

# 6
MgCo2Br: optimized geometry, GGA-PBE.

The structure in CIF format:
```
data_MgCo2Br
_chemical_formula_sum 'Mg2 Co4 Br2'
_symmetry_space_group_name_H-M 'C m m m'
_symmetry_Int_Tables_number 65
_symmetry_space_group_name_Hall '-C 2 2'
_cell_length_a 3.155
_cell_length_b 5.168
_cell_length_c 8.219
_cell_angle_alpha 90.00
_cell_angle_beta 90.00
_cell_angle_gamma 90.00
loop_
_atom_site_label
_atom_site_fract_x
_atom_site_fract_y
_atom_site_fract_z
_atom_site_occupancy
Mg1 0.000 0.000 0.000 1
Co1 0.000 0.500 0.260 1
Br1 0.000 0.000 0.500 1
```

=====

no.,energy relative to the lowest polymorph listed for this composition (meV per atom),formation energy from raw total energies (kJ/mol of formula units)
1,605,385
2,381,86
3,346,-6
4,428,25
5,409,182
6,589,251